V2ZnO4 | PBE with a Hubbard U | optimized geometry

Computed properties:
The calculation puts the total energy at -7.014 eV per atom. For the polymorph energy (0 for the lowest one), the calculation gives 39.1 meV per atom. The value obtained for the magnetization is 24.000 μB per cell.

Cell lengths 6.073, 6.073, 14.843 Å; angles 90.00, 90.00, 120.00 degrees
Fractional positions:
V1 0.000 0.000 0.000
V2 0.000 0.000 0.375
V3 0.004 0.502 0.499
V4 0.166 0.332 0.833
V5 0.166 0.834 0.833
V6 0.335 0.168 0.165
V7 0.498 0.502 0.499
V8 0.498 0.996 0.499
V9 0.667 0.333 0.708
V10 0.668 0.834 0.833
V11 0.832 0.168 0.165
V12 0.832 0.665 0.165
Zn1 0.000 0.000 0.620
Zn2 0.333 0.667 0.043
Zn3 0.333 0.667 0.285
Zn4 0.333 0.667 0.664
Zn5 0.667 0.333 0.331
Zn6 0.667 0.333 0.958
O1 0.000 0.000 0.244
O2 0.000 0.000 0.760
O3 0.013 0.507 0.755
O4 0.153 0.305 0.086
O5 0.153 0.847 0.086
O6 0.178 0.356 0.576
O7 0.178 0.822 0.576
O8 0.305 0.152 0.913
O9 0.333 0.667 0.425
O10 0.333 0.667 0.904
O11 0.350 0.175 0.421
O12 0.493 0.507 0.755
O13 0.493 0.987 0.755
O14 0.511 0.022 0.240
O15 0.511 0.489 0.240
O16 0.644 0.822 0.576
O17 0.667 0.333 0.091
O18 0.667 0.333 0.573
O19 0.695 0.847 0.086
O20 0.825 0.175 0.421
O21 0.825 0.650 0.421
O22 0.848 0.152 0.913
O23 0.848 0.695 0.913
O24 0.978 0.489 0.240